Material: TmSi2Rh2
Method: DFT, meta-GGA SCAN
State: single point on PBEsol structure

Cell lengths 3.990, 3.990, 9.842 Å; angles 90.00, 90.00, 90.00 degrees
Space group I4/mmm (No. 139)
Unique sites:
Tm  0.000  0.000  0.000 x2
Si  0.000  0.000  0.379 x4
Rh  0.000  0.500  0.250 x4

crystal system	tetragonal

---

Material: Si2RhW
Method: DFT, meta-GGA SCAN
State: single point on PBEsol structure

Cell lengths 2.772, 4.493, 4.364 Å; angles 90.00, 90.00, 90.00 degrees
Space group Pmm2 (No. 25)
Unique sites:
Si  0.000  0.000  0.000 x1
Si  0.500  0.500  0.203 x1
Rh  0.500  0.000  0.478 x1
W  0.000  0.500  0.707 x1

crystal system	orthorhombic

---

How do the records compare in DFT total energy? In the order shown, they have -291.18 -124.57 eV for the cell shown.
How do the records compare in formation energy without anion corrections? In the order shown, they have -1237 -270 meV per atom.